Compound: AcPmY3
Source: Alexandria
Functional: PBE-GGA
Structure: relaxed

```
data_AcPmY3
_cell_length_a 4.971
_cell_length_b 8.685
_cell_length_c 9.550
_cell_angle_alpha 68.70
_cell_angle_beta 74.94
_cell_angle_gamma 90.00
_space_group_name_H-M_alt 'P 1'
_space_group_IT_number 1
_space_group_name_Hall 'P 1'
loop_
_atom_site_label
_atom_site_fract_x
_atom_site_fract_y
_atom_site_fract_z
Ac1 0.115 0.150 0.270
Ac2 0.885 0.850 0.730
Pm1 0.312 0.109 0.877
Pm2 0.688 0.891 0.123
Y1 0.056 0.698 0.388
Y2 0.227 0.626 0.046
Y3 0.415 0.553 0.670
Y4 0.585 0.447 0.330
Y5 0.773 0.374 0.954
Y6 0.944 0.302 0.612
```

Values from the calculation:
As for the space group: P-1. Its energy of formation from the pure elements is 0.155 eV/atom.